Crystalline MoOsI2O at its relaxed geometry. Source: the Alexandria database, functional GGA+U.

M_tot in μB/f.u.: 4.440
Energy relative to the lowest polymorph listed for this composition in meV/atom: 0
Total energy in hartree per atom: -0.1816
V in Å³ per atom: 24.34
Fermi-level density of states in states/eV/cell: 3.89

extended XYZ file:
```
5
Lattice="5.687 0.000 0.000 0.000 5.687 0.000 0.000 0.000 3.763" Properties=species:S:1:pos:R:3 pbc="T T T"
Mo 2.843 2.843 1.881
Os 0.000 0.000 0.000
I 0.000 2.843 0.000
I 2.843 0.000 0.000
O 0.000 0.000 1.881
```